Entry 1:
A relaxed structure of YBeTl. Source: Alexandria, functional PBE-GGA.

## Properties
Its space group is Cm, No. 8. The formation energy from the elements is -0.2 eV per formula unit. As for the volume: 142 Å³/cell. Its total energy is -25.564 eV per cell.

abc: 11.2857 3.8410 3.8425
angles: 60.04 99.72 89.97
With the nearest neighbours (Å) after each atom.
Fractional coordinates of all 6 atoms:
Y (0.5544, 0.1067, 0.1652)  6 Be 2.87-2.88
Y (0.2226, 0.2177, 0.9440)  6 Be 2.88-2.89
Be (0.3884, 0.4955, 0.3883)  3 Be 2.22
Be (0.3896, 0.8286, 0.7220)  3 Be 2.22
Tl (0.9951, 0.6266, 0.1268)  3 Tl 3.22-3.23, 3 Y 3.36
Tl (0.7832, 0.3642, 0.6511)  3 Tl 3.22-3.23, 3 Y 3.36-3.37


Entry 2:
A relaxed structure of DySc2Au. Source: Alexandria, functional PBE-GGA.

## Properties
Its space group is R3m, No. 160. The formation energy from the elements is -0.9 eV per formula unit. As for the volume: 101 Å³/cell. Its total energy is -21.484 eV per cell.

abc: 3.5227 3.5227 9.6270
angles: 79.46 79.46 60.00
With the nearest neighbours (Å) after each atom.
Fractional coordinates of all 4 atoms:
Dy (0.5014, 0.5014, 0.4958)  6 Sc 3.38-3.45, 6 Dy 3.52
Sc (0.0694, 0.0694, 0.7919)  3 Au 2.84
Sc (0.2635, 0.2635, 0.2095)  3 Au 2.81
Au (0.6657, 0.6657, 0.0028)  6 Sc 2.81-2.84


no.,Fermi-level density of states (states/eV/cell)
1,6.58
2,5.60